No. 1
{
  "formula": "DyNpMn2",
  "functional": "GGA-PBE",
  "state": "optimized geometry",
  "sg": "R-3m (166)",
  "dos_ef_per_ev_atom": 1.18,
  "formation_enthalpy_0k_mev_per_atom": 374,
  "m_tot_mub_per_atom": 0.041,
  "lattice_angstrom": [[1.612, 0.931, 7.931], [-1.612, 0.931, 7.931], [0.000, -1.861, 7.931]],
  "species": ["Dy", "Np", "Mn", "Mn"],
  "fractional_positions": [[0.000, 0.000, 0.000], [0.500, 0.500, 0.500], [0.234, 0.234, 0.234], [0.766, 0.766, 0.766]]
}



No. 2
{
  "formula": "Mg4Ga2Ge",
  "functional": "GGA-PBE",
  "state": "optimized geometry",
  "sg": "I4/mmm (139)",
  "dos_ef_per_ev_atom": 0.50,
  "formation_enthalpy_0k_mev_per_atom": 185,
  "m_tot_mub_per_atom": 0.000,
  "lattice_angstrom": [[-2.561, 2.561, 6.775], [2.561, -2.561, 6.775], [2.561, 2.561, -6.775]],
  "species": ["Mg", "Mg", "Mg", "Mg", "Ga", "Ga", "Ge"],
  "fractional_positions": [[0.000, 0.500, 0.500], [0.195, 0.195, 0.000], [0.500, 0.000, 0.500], [0.805, 0.805, 0.000], [0.394, 0.394, 0.000], [0.606, 0.606, 0.000], [0.000, 0.000, 0.000]]
}



No. 3
{
  "formula": "CsPm2PaSe5",
  "functional": "GGA-PBE",
  "state": "optimized geometry",
  "sg": "Immm (71)",
  "dos_ef_per_ev_atom": 0.61,
  "raw_formation_energy_ev_per_atom": -1.54,
  "m_tot_mub_per_atom": 0.045,
  "lattice_angstrom": [[-2.669, 3.832, 7.148], [2.669, -3.832, 7.148], [2.669, 3.832, -7.148]],
  "species": ["Cs", "Pm", "Pm", "Pa", "Se", "Se", "Se", "Se", "Se"],
  "fractional_positions": [[0.000, 0.000, 0.000], [0.297, 0.797, 0.500], [0.703, 0.203, 0.500], [0.500, 0.500, 0.000], [0.112, 0.348, 0.764], [0.417, 0.652, 0.764], [0.500, 0.000, 0.500], [0.583, 0.348, 0.236], [0.888, 0.652, 0.236]]
}



No. 4
{
  "formula": "AlHPd2Pt",
  "functional": "GGA-PBE",
  "state": "optimized geometry",
  "polymorph_energy_mev_per_atom": 0,
  "sg": "P4/mmm (123)",
  "dos_ef_per_ev_atom": 0.17,
  "m_tot_mub_per_atom": 0.000,
  "lattice_angstrom": [[3.966, 0.000, 0.000], [0.000, 3.966, 0.000], [0.000, 0.000, 3.989]],
  "species": ["Al", "H", "Pd", "Pd", "Pt"],
  "fractional_positions": [[0.000, 0.000, 0.000], [0.500, 0.500, 0.500], [0.000, 0.500, 0.500], [0.500, 0.000, 0.500], [0.500, 0.500, 0.000]]
}



No. 5
{
  "formula": "BaNi3C",
  "functional": "GGA-PBE",
  "state": "optimized geometry",
  "polymorph_energy_mev_per_atom": 181,
  "sg": "Pm-3m (221)",
  "dos_ef_per_ev_atom": 0.41,
  "formation_enthalpy_0k_mev_per_atom": 412,
  "m_tot_mub_per_atom": 0.369,
  "lattice_angstrom": [[4.155, 0.000, 0.000], [0.000, 4.155, 0.000], [0.000, 0.000, 4.155]],
  "species": ["Ba", "Ni", "Ni", "Ni", "C"],
  "fractional_positions": [[0.000, 0.000, 0.000], [0.000, 0.500, 0.500], [0.500, 0.000, 0.500], [0.500, 0.500, 0.000], [0.500, 0.500, 0.500]]
}



No. 6
{
  "formula": "SnCCl3",
  "functional": "GGA-PBE",
  "state": "optimized geometry",
  "polymorph_energy_mev_per_atom": 256,
  "sg": "Pm-3m (221)",
  "dos_ef_per_ev_atom": 0.51,
  "raw_formation_energy_ev_per_atom": 0.65,
  "m_tot_mub_per_atom": 0.000,
  "lattice_angstrom": [[4.607, 0.000, 0.000], [0.000, 4.607, 0.000], [0.000, 0.000, 4.607]],
  "species": ["Sn", "C", "Cl", "Cl", "Cl"],
  "fractional_positions": [[0.000, 0.000, 0.000], [0.500, 0.500, 0.500], [0.000, 0.500, 0.500], [0.500, 0.000, 0.500], [0.500, 0.500, 0.000]]
}



No. 7
{
  "formula": "Co2BrCl",
  "functional": "GGA-PBE",
  "state": "optimized geometry",
  "sg": "P4/mmm (123)",
  "dos_ef_per_ev_atom": 1.42,
  "raw_formation_energy_ev_per_atom": 0.62,
  "m_tot_mub_per_atom": 1.002,
  "lattice_angstrom": [[4.458, 0.000, 0.000], [0.000, 4.458, 0.000], [0.000, 0.000, 3.172]],
  "species": ["Co", "Co", "Br", "Cl"],
  "fractional_positions": [[0.000, 0.500, 0.000], [0.500, 0.000, 0.000], [0.000, 0.000, 0.500], [0.500, 0.500, 0.500]]
}



No. 8
{
  "formula": "Ta5Nb2W5",
  "functional": "GGA-PBE",
  "state": "optimized geometry",
  "polymorph_energy_mev_per_atom": 0,
  "sg": "C2/m (12)",
  "dos_ef_per_ev_atom": 0.80,
  "formation_enthalpy_0k_mev_per_atom": -73,
  "m_tot_mub_per_atom": 0.000,
  "lattice_angstrom": [[4.883, -2.289, 0.000], [4.883, 2.289, 0.000], [-3.230, 0.000, 9.229]],
  "species": ["Ta", "Ta", "Ta", "Ta", "Ta", "Nb", "Nb", "W", "W", "W", "W", "W"],
  "fractional_positions": [[0.000, 0.000, 0.000], [0.165, 0.165, 0.502], [0.251, 0.251, 0.250], [0.749, 0.749, 0.750], [0.835, 0.835, 0.498], [0.082, 0.082, 0.753], [0.918, 0.918, 0.247], [0.332, 0.332, 0.997], [0.419, 0.419, 0.752], [0.500, 0.500, 0.500], [0.581, 0.581, 0.248], [0.668, 0.668, 0.003]]
}